[1]
The following is a GGA-PBE calculation of a geometry-optimized CdRh structure, from Alexandria.

Cell lengths 2.893, 3.966, 5.931 Å; angles 90.00, 90.00, 90.00 degrees
Sites, in units of the cell vectors:
Rh: 0.250 0.750 0.113
Rh: 0.750 0.250 0.887
Cd: 0.250 0.750 0.643
Cd: 0.750 0.250 0.357

Properties
Energy of formation ... 0.02 eV per atom
E_tot ... -4.111 eV/atom

[2]
The following is a GGA-PBE calculation of a geometry-optimized CsMgIn structure, from Alexandria.

Cell lengths 4.962, 4.962, 13.530 Å; angles 80.31, 80.31, 60.01 degrees
Sites, in units of the cell vectors:
Cs: 0.261 0.261 0.691
Cs: 0.739 0.739 0.309
Mg: 0.846 0.846 0.957
Mg: 0.154 0.154 0.043
In: 0.464 0.464 0.117
In: 0.536 0.536 0.883

Properties
Energy of formation ... -0.05 eV per atom
E_tot ... -1.780 eV/atom